1.
# K2AgSn4Au, optimized geometry, DFT PBE
data_K2AgSn4Au
_symmetry_space_group_name_H-M 'P 1'
_symmetry_Int_Tables_number 1
_cell_length_a 4.645
_cell_length_b 7.966
_cell_length_c 6.729
_cell_angle_alpha 90.00
_cell_angle_beta 110.13
_cell_angle_gamma 90.00
loop_
_symmetry_equiv_pos_as_xyz
'x,y,z'
loop_
_atom_site_label
_atom_site_type_symbol
_atom_site_fract_x
_atom_site_fract_y
_atom_site_fract_z
Sn1 Sn 0.156 0.694 0.312
Sn2 Sn 0.845 0.805 0.689
Sn3 Sn 0.156 0.306 0.312
Sn4 Sn 0.845 0.195 0.689
K1 K 0.556 0.000 0.111
K2 K 0.444 0.500 0.888
Ag1 Ag 0.283 0.000 0.566
Au1 Au 0.715 0.500 0.431
# - SG = Pm, No. 6


2.
# UCdFe, optimized geometry, DFT PBE
data_UCdFe
_symmetry_space_group_name_H-M 'P 1'
_symmetry_Int_Tables_number 1
_cell_length_a 4.421
_cell_length_b 4.421
_cell_length_c 4.421
_cell_angle_alpha 60.00
_cell_angle_beta 60.00
_cell_angle_gamma 60.00
loop_
_symmetry_equiv_pos_as_xyz
'x,y,z'
loop_
_atom_site_label
_atom_site_type_symbol
_atom_site_fract_x
_atom_site_fract_y
_atom_site_fract_z
Fe1 Fe 0.250 0.250 0.250
U1 U 0.500 0.500 0.500
Cd1 Cd 0.000 0.000 0.000
# - SG = F-43m, No. 216
# - total moment (μB per formula unit) = 0.0
# - relative energy among the computed polymorphs (meV per atom) = 0.0
# - ΔH_f (0 K) (eV per atom) = 0.62


3.
# LiGaTc2, optimized geometry, DFT PBE
data_LiGaTc2
_symmetry_space_group_name_H-M 'P 1'
_symmetry_Int_Tables_number 1
_cell_length_a 4.259
_cell_length_b 4.259
_cell_length_c 4.259
_cell_angle_alpha 60.00
_cell_angle_beta 60.00
_cell_angle_gamma 60.00
loop_
_symmetry_equiv_pos_as_xyz
'x,y,z'
loop_
_atom_site_label
_atom_site_type_symbol
_atom_site_fract_x
_atom_site_fract_y
_atom_site_fract_z
Tc1 Tc 0.750 0.750 0.750
Tc2 Tc 0.000 0.000 0.000
Li1 Li 0.250 0.250 0.250
Ga1 Ga 0.500 0.500 0.500
# - SG = F-43m, No. 216
# - total moment (μB per formula unit) = 0.0


4.
# KCoGeSe3, optimized geometry, DFT PBE
data_KCoGeSe3
_symmetry_space_group_name_H-M 'P 1'
_symmetry_Int_Tables_number 1
_cell_length_a 8.306
_cell_length_b 3.723
_cell_length_c 10.263
_cell_angle_alpha 90.00
_cell_angle_beta 110.79
_cell_angle_gamma 90.00
loop_
_symmetry_equiv_pos_as_xyz
'x,y,z'
loop_
_atom_site_label
_atom_site_type_symbol
_atom_site_fract_x
_atom_site_fract_y
_atom_site_fract_z
Se1 Se 0.571 0.750 0.408
Se2 Se 0.841 0.250 0.696
Se3 Se 0.645 0.750 0.897
Se4 Se 0.355 0.250 0.103
Se5 Se 0.429 0.250 0.592
Se6 Se 0.159 0.750 0.304
K1 K 0.779 0.250 0.240
K2 K 0.221 0.750 0.760
Co1 Co 0.628 0.750 0.649
Co2 Co 0.372 0.250 0.351
Ge1 Ge 0.870 0.250 0.944
Ge2 Ge 0.130 0.750 0.056
# - SG = P2_1/m, No. 11
# - total moment (μB per formula unit) = 0.0


5.
# RbNaNiMo, optimized geometry, DFT PBE
data_RbNaNiMo
_symmetry_space_group_name_H-M 'P 1'
_symmetry_Int_Tables_number 1
_cell_length_a 5.059
_cell_length_b 5.059
_cell_length_c 5.059
_cell_angle_alpha 60.00
_cell_angle_beta 60.00
_cell_angle_gamma 60.00
loop_
_symmetry_equiv_pos_as_xyz
'x,y,z'
loop_
_atom_site_label
_atom_site_type_symbol
_atom_site_fract_x
_atom_site_fract_y
_atom_site_fract_z
Na1 Na 0.750 0.750 0.750
Mo1 Mo 0.250 0.250 0.250
Rb1 Rb 0.000 0.000 0.000
Ni1 Ni 0.500 0.500 0.500
# - SG = F-43m, No. 216
# - total moment (μB per formula unit) = 4.1
# - relative energy among the computed polymorphs (meV per atom) = 38.6


6.
# NdPAuO, optimized geometry, DFT PBE
data_NdPAuO
_symmetry_space_group_name_H-M 'P 1'
_symmetry_Int_Tables_number 1
_cell_length_a 3.886
_cell_length_b 7.546
_cell_length_c 6.063
_cell_angle_alpha 90.00
_cell_angle_beta 90.00
_cell_angle_gamma 90.00
loop_
_symmetry_equiv_pos_as_xyz
'x,y,z'
loop_
_atom_site_label
_atom_site_type_symbol
_atom_site_fract_x
_atom_site_fract_y
_atom_site_fract_z
Nd1 Nd 0.000 0.270 0.937
Nd2 Nd 0.000 0.730 0.437
O1 O 0.500 0.868 0.441
O2 O 0.500 0.132 0.941
Au1 Au 0.500 0.831 0.940
Au2 Au 0.500 0.169 0.440
P1 P 0.000 0.654 0.937
P2 P 0.000 0.346 0.437
# - SG = Pmc2_1, No. 26
# - total moment (μB per formula unit) = 0.0
# - relative energy among the computed polymorphs (meV per atom) = 349.6


no.,E (eV/atom)
1,-3.275
2,-6.212
3,-6.579
4,-4.364
5,-3.208
6,-5.808